Entry 1:
TePb2Se2 PBE optimized geometry; calculated density = 8.1 Mg/m³; distance to the lowest polymorph of the same formula = 14.0 meV/atom; formation energy from raw total energies = -0.175 eV/atom; volume = 28.9 A^3/atom
1.0
8.333 0.000 0.000
0.000 8.333 0.000
0.000 0.000 4.159
Te Pb Se
2 4 4
direct
0.000 0.000 0.000 Te
0.500 0.500 0.000 Te
0.162 0.338 0.500 Pb
0.338 0.838 0.500 Pb
0.662 0.162 0.500 Pb
0.838 0.662 0.500 Pb
0.154 0.654 0.000 Se
0.346 0.154 0.000 Se
0.654 0.846 0.000 Se
0.846 0.346 0.000 Se


Entry 2:
TlTePbSe3 PBE optimized geometry; calculated density = 6.3 Mg/m³; formation energy from raw total energies = -0.223 eV/atom; volume = 34.3 A^3/atom
1.0
8.676 0.000 0.000
0.000 4.578 0.000
-0.462 0.000 10.371
Tl Te Pb Se
2 2 2 6
direct
0.176 0.250 0.257 Tl
0.824 0.750 0.743 Tl
0.145 0.250 0.879 Te
0.855 0.750 0.121 Te
0.369 0.750 0.620 Pb
0.631 0.250 0.380 Pb
0.108 0.250 0.632 Se
0.295 0.750 0.926 Se
0.398 0.750 0.342 Se
0.602 0.250 0.658 Se
0.705 0.250 0.074 Se
0.892 0.750 0.368 Se


Entry 3:
Tm4Te2PbSe PBE optimized geometry; calculated density = 9.2 Mg/m³; formation energy from raw total energies = -1.143 eV/atom; volume = 27.6 A^3/atom
1.0
7.356 0.000 0.000
0.000 4.273 0.000
-2.478 0.000 7.012
Tm Te Pb Se
4 2 1 1
direct
0.233 0.000 0.226 Tm
0.248 0.500 0.765 Tm
0.752 0.500 0.235 Tm
0.767 0.000 0.774 Tm
0.000 0.000 0.500 Te
0.500 0.500 0.500 Te
0.500 0.000 0.000 Pb
0.000 0.500 0.000 Se


Entry 4:
Tm4TePbSe2 PBE optimized geometry; calculated density = 9.3 Mg/m³; formation energy from raw total energies = -1.247 eV/atom; volume = 26.1 A^3/atom
1.0
7.266 0.000 0.000
0.000 4.187 0.000
-2.408 0.000 6.856
Tm Te Pb Se
4 1 1 2
direct
0.228 0.000 0.235 Tm
0.233 0.500 0.749 Tm
0.767 0.500 0.251 Tm
0.772 0.000 0.765 Tm
0.500 0.500 0.500 Te
0.500 0.000 0.000 Pb
0.000 0.000 0.500 Se
0.000 0.500 0.000 Se


Entry 5:
Tm8Te4PbSe3 PBE optimized geometry; calculated density = 9.0 Mg/m³; formation energy from raw total energies = -1.288 eV/atom; volume = 26.6 A^3/atom
1.0
7.264 -4.195 0.000
7.264 4.195 0.000
-4.842 0.000 6.971
Tm Te Pb Se
8 4 1 3
direct
0.230 0.747 0.724 Tm
0.238 0.238 0.713 Tm
0.253 0.253 0.277 Tm
0.253 0.770 0.276 Tm
0.747 0.230 0.724 Tm
0.747 0.747 0.723 Tm
0.762 0.762 0.287 Tm
0.770 0.253 0.276 Tm
0.000 0.000 0.000 Te
0.000 0.500 0.000 Te
0.500 0.000 0.000 Te
0.500 0.500 0.000 Te
0.500 0.500 0.500 Pb
0.000 0.000 0.500 Se
0.000 0.500 0.500 Se
0.500 0.000 0.500 Se


Entry 6:
Tm6Te3Pb2Se PBE optimized geometry; calculated density = 9.3 Mg/m³; formation energy from raw total energies = -1.049 eV/atom; volume = 28.2 A^3/atom
1.0
9.380 -2.155 0.000
9.380 2.155 0.000
-2.013 0.000 8.385
Tm Te Pb Se
6 3 2 1
direct
0.003 0.003 0.231 Tm
0.332 0.332 0.425 Tm
0.341 0.341 0.916 Tm
0.659 0.659 0.084 Tm
0.668 0.668 0.575 Tm
0.997 0.997 0.769 Tm
0.167 0.167 0.833 Te
0.500 0.500 0.500 Te
0.833 0.833 0.167 Te
0.166 0.166 0.329 Pb
0.834 0.834 0.671 Pb
0.500 0.500 0.000 Se


Q: Which of these has the lowest calculated density?
A: TlTePbSe3